No. 1
## LaOsW (PBE)

Data for a geometry-optimized LaOsW structure.

Computed properties:
ΔE to the lowest computed polymorph: 728 meV/atom
DFT total energy: -8.94 eV/atom
density of states at the Fermi level: 2.7 states/eV/f.u.
formation enthalpy at 0 K: 0.7673 eV per atom

```
data_LaOsW
_chemical_formula_sum 'La1 Os1 W1'
_space_group_name_H-M_alt 'P 3 m 1'
_space_group_IT_number 156
_space_group_name_Hall 'P 3 -2"'
_cell_length_a 4.6860
_cell_length_b 4.6860
_cell_length_c 3.0473
_cell_angle_alpha 90.00
_cell_angle_beta 90.00
_cell_angle_gamma 120.00
loop_
_atom_site_label
_atom_site_fract_x
_atom_site_fract_y
_atom_site_fract_z
La1 0.0000 0.0000 0.0000
Os1 0.6667 0.3333 0.3564
W1 0.3333 0.6667 0.6478
```



No. 2
## LaOsW (PBE)

Data for a geometry-optimized LaOsW structure.

Computed properties:
ΔE to the lowest computed polymorph: 606 meV/atom
DFT total energy: -9.06 eV/atom
density of states at the Fermi level: 3.6 states/eV/f.u.
formation enthalpy at 0 K: 0.6447 eV per atom

```
data_LaOsW
_chemical_formula_sum 'La1 Os1 W1'
_space_group_name_H-M_alt 'P 3 m 1'
_space_group_IT_number 156
_space_group_name_Hall 'P 3 -2"'
_cell_length_a 2.9358
_cell_length_b 2.9358
_cell_length_c 7.7621
_cell_angle_alpha 90.00
_cell_angle_beta 90.00
_cell_angle_gamma 120.00
loop_
_atom_site_label
_atom_site_fract_x
_atom_site_fract_y
_atom_site_fract_z
La1 0.0000 0.0000 0.0000
Os1 0.3333 0.6667 0.3611
W1 0.6667 0.3333 0.6218
```



No. 3
## LaOsW4 (PBE)

Data for a geometry-optimized LaOsW4 structure.

Computed properties:
DFT total energy: -10.66 eV/atom
density of states at the Fermi level: 6.3 states/eV/f.u.
formation enthalpy at 0 K: 0.6638 eV per atom

```
data_LaOsW4
_chemical_formula_sum 'La4 Os4 W16'
_space_group_name_H-M_alt 'F -4 3 m'
_space_group_IT_number 216
_space_group_name_Hall 'F -4 2 3'
_cell_length_a 7.670
_cell_length_b 7.670
_cell_length_c 7.670
_cell_angle_alpha 90.00
_cell_angle_beta 90.00
_cell_angle_gamma 90.00
loop_
_atom_site_label
_atom_site_fract_x
_atom_site_fract_y
_atom_site_fract_z
La1 0.000 0.000 0.000
Os1 0.250 0.250 0.750
W1 0.125 0.125 0.375
```



No. 4
## La2OsW (PBE)

Data for a geometry-optimized La2OsW structure.

Computed properties:
ΔE to the lowest computed polymorph: 419 meV/atom
DFT total energy: -7.93 eV/atom
density of states at the Fermi level: 3.8 states/eV/f.u.
formation enthalpy at 0 K: 0.5832 eV per atom

```
data_La2OsW
_chemical_formula_sum 'La8 Os4 W4'
_space_group_name_H-M_alt 'F -4 3 m'
_space_group_IT_number 216
_space_group_name_Hall 'F -4 2 3'
_cell_length_a 7.000
_cell_length_b 7.000
_cell_length_c 7.000
_cell_angle_alpha 90.00
_cell_angle_beta 90.00
_cell_angle_gamma 90.00
loop_
_atom_site_label
_atom_site_fract_x
_atom_site_fract_y
_atom_site_fract_z
La1 0.000 0.000 0.000
La2 0.250 0.250 0.250
Os1 0.250 0.250 0.750
W1 0.000 0.000 0.500
```



No. 5
## LaOs4W (PBE)

Data for a geometry-optimized LaOs4W structure.

Computed properties:
DFT total energy: -10.02 eV/atom
density of states at the Fermi level: 6.2 states/eV/f.u.
formation enthalpy at 0 K: 0.4439 eV per atom

```
data_LaOs4W
_chemical_formula_sum 'La4 Os16 W4'
_space_group_name_H-M_alt 'F -4 3 m'
_space_group_IT_number 216
_space_group_name_Hall 'F -4 2 3'
_cell_length_a 7.495
_cell_length_b 7.495
_cell_length_c 7.495
_cell_angle_alpha 90.00
_cell_angle_beta 90.00
_cell_angle_gamma 90.00
loop_
_atom_site_label
_atom_site_fract_x
_atom_site_fract_y
_atom_site_fract_z
La1 0.000 0.000 0.000
Os1 0.125 0.125 0.625
W1 0.250 0.250 0.250
```



No. 6
## LaOs2W2 (PBE)

Data for a geometry-optimized LaOs2W2 structure.

Computed properties:
ΔE to the lowest computed polymorph: 0 meV/atom
DFT total energy: -10.68 eV/atom
density of states at the Fermi level: 3.9 states/eV/f.u.
formation enthalpy at 0 K: -0.0206 eV per atom

```
data_LaOs2W2
_chemical_formula_sum 'La2 Os4 W4'
_space_group_name_H-M_alt 'I 4/m m m'
_space_group_IT_number 139
_space_group_name_Hall '-I 4 2'
_cell_length_a 4.389
_cell_length_b 4.389
_cell_length_c 10.651
_cell_angle_alpha 90.00
_cell_angle_beta 90.00
_cell_angle_gamma 90.00
loop_
_atom_site_label
_atom_site_fract_x
_atom_site_fract_y
_atom_site_fract_z
La1 0.000 0.000 0.000
Os1 0.000 0.000 0.372
W1 0.000 0.500 0.250
```



No. 7
## LaOsW (PBE)

Data for a geometry-optimized LaOsW structure.

Computed properties:
ΔE to the lowest computed polymorph: 199 meV/atom
DFT total energy: -9.47 eV/atom
density of states at the Fermi level: 3.0 states/eV/f.u.
formation enthalpy at 0 K: 0.2382 eV per atom

```
data_LaOsW
_chemical_formula_sum 'La2 Os2 W2'
_space_group_name_H-M_alt 'I 4 m m'
_space_group_IT_number 107
_space_group_name_Hall 'I 4 -2'
_cell_length_a 3.170
_cell_length_b 3.170
_cell_length_c 12.413
_cell_angle_alpha 90.00
_cell_angle_beta 90.00
_cell_angle_gamma 90.00
loop_
_atom_site_label
_atom_site_fract_x
_atom_site_fract_y
_atom_site_fract_z
La1 0.000 0.000 0.000
Os1 0.000 0.000 0.304
W1 0.000 0.000 0.701
```



No. 8
## La2OsW (PBE)

Data for a geometry-optimized La2OsW structure.

Computed properties:
ΔE to the lowest computed polymorph: 125 meV/atom
DFT total energy: -8.22 eV/atom
density of states at the Fermi level: 3.8 states/eV/f.u.
formation enthalpy at 0 K: 0.2887 eV per atom

```
data_La2OsW
_chemical_formula_sum 'La4 Os2 W2'
_space_group_name_H-M_alt 'C 1 m 1'
_space_group_IT_number 8
_space_group_name_Hall 'C -2y'
_cell_length_a 12.379
_cell_length_b 3.569
_cell_length_c 5.082
_cell_angle_alpha 90.00
_cell_angle_beta 113.96
_cell_angle_gamma 90.00
loop_
_atom_site_label
_atom_site_fract_x
_atom_site_fract_y
_atom_site_fract_z
La1 0.000 0.000 0.000
La2 0.211 0.000 0.713
Os1 0.436 0.000 0.436
W1 0.292 0.500 0.293
```



> The lowest density of states at the Fermi level belongs to which entry?

number 1